{"formula": "Cu4Pd", "functional": "PBE", "state": "relaxed", "cell": [[2.639, 0.000, -0.504], [-0.184, 3.459, -0.966], [-0.040, 0.071, 6.955]], "species": ["Cu", "Cu", "Cu", "Cu", "Pd"], "fractional_positions": [[0.202, 0.202, 0.404], [0.606, 0.606, 0.212], [0.394, 0.394, 0.788], [0.798, 0.798, 0.596], [0.000, 0.000, 0.000]], "ef_mev_per_atom": -59, "mass_density_g_cm3": 9.415, "dos_ef_per_ev_fu": 1.43}